Entry 1:
PmGaNi5Ge2: optimized geometry, PBE.

abc: 3.7879 3.7879 10.3263
angles: 90.00 90.00 90.00
Closest atoms and distances in Å follow each position.
Space group P4/mmm (No. 123)
Inequivalent atoms, fractional coordinates:
Pm: 0.0000 0.0000 0.0000  4 Ni 2.68
Ga: 0.0000 0.0000 0.5000  8 Ni 2.41
Ni: 0.0000 0.5000 0.3556  2 Ge 2.35, 2 Ga 2.41
Ni: 0.5000 0.5000 0.0000  2 Ge 2.28
Ge: 0.5000 0.5000 0.2207  5 Ni 2.28-2.35

## Properties
* energy of formation from the pure elements: -0.220 eV/atom
* ρ: 7.324 g cm⁻³

=====

Entry 2:
PmGa2Ni2Ge: optimized geometry, PBE.

abc: 4.3935 4.3935 5.5984
angles: 90.00 90.00 90.00
Closest atoms and distances in Å follow each position.
Space group P4/mmm (No. 123)
Inequivalent atoms, fractional coordinates:
Pm: 0.0000 0.0000 0.0000  2 Ge 2.80
Ga: 0.5000 0.5000 0.2398  4 Ni 2.64, 2 Ga 2.68-2.91
Ni: 0.0000 0.5000 0.5000  2 Ge 2.20
Ge: 0.0000 0.0000 0.5000  4 Ni 2.20

## Properties
* energy of formation from the pure elements: -0.334 eV/atom
* ρ: 7.291 g cm⁻³

=====

Among the records above, which one has the lowest ρ? PmGa2Ni2Ge

=====

The lowest ρ belongs to which entry? PmGa2Ni2Ge